#i
# Cd2CoTc GGA-PBEsol optimized geometry
data_Cd2CoTc
_chemical_formula_sum 'Cd6 Co3 Tc3'
_cell_length_a 2.7865
_cell_length_b 2.7865
_cell_length_c 27.9918
_cell_angle_alpha 90.00
_cell_angle_beta 90.00
_cell_angle_gamma 120.00
_space_group_name_H-M_alt 'R 3 m'
_space_group_IT_number 160
_space_group_name_Hall 'R 3 -2"'
loop_
_atom_site_label
_atom_site_type_symbol
_atom_site_fract_x
_atom_site_fract_y
_atom_site_fract_z
Cd1 Cd 0.0000 0.0000 0.0000
Cd2 Cd 0.0000 0.0000 0.2344
Co1 Co 0.0000 0.0000 0.7470
Tc1 Tc 0.0000 0.0000 0.4797
# **Calculated volume**: 188.22 Å³/cell

---

#ii
# Cd2CoTc GGA-PBEsol optimized geometry
data_Cd2CoTc
_chemical_formula_sum 'Cd2 Co1 Tc1'
_cell_length_a 2.6828
_cell_length_b 4.1912
_cell_length_c 5.5587
_cell_angle_alpha 90.00
_cell_angle_beta 90.00
_cell_angle_gamma 90.00
_space_group_name_H-M_alt 'P m m m'
_space_group_IT_number 47
_space_group_name_Hall '-P 2 2'
loop_
_atom_site_label
_atom_site_type_symbol
_atom_site_fract_x
_atom_site_fract_y
_atom_site_fract_z
Cd1 Cd 0.0000 0.0000 0.2442
Co1 Co 0.5000 0.5000 0.0000
Tc1 Tc 0.5000 0.5000 0.5000
# **Calculated volume**: 62.50 Å³/cell

---

Which structure wins on stability? #i wins.

---

#i
# NaNiPO4 GGA-PBEsol optimized geometry
data_NaNiPO4
_chemical_formula_sum 'Na4 Ni4 P4 O16'
_cell_length_a 10.0377
_cell_length_b 6.0747
_cell_length_c 4.9172
_cell_angle_alpha 90.00
_cell_angle_beta 90.00
_cell_angle_gamma 90.00
_space_group_name_H-M_alt 'P n m a'
_space_group_IT_number 62
_space_group_name_Hall '-P 2ac 2n'
loop_
_atom_site_label
_atom_site_type_symbol
_atom_site_fract_x
_atom_site_fract_y
_atom_site_fract_z
Na1 Na 0.0000 0.0000 0.0000
Ni1 Ni 0.2205 0.2500 0.4911
P1 P 0.1087 0.7500 0.4414
O1 O 0.0379 0.2500 0.6571
O2 O 0.1148 0.7500 0.7529
O3 O 0.1811 0.5495 0.3040
# **Calculated volume**: 299.83 Å³/cell

---

#ii
# NaNiPO4 GGA-PBEsol optimized geometry
data_NaNiPO4
_chemical_formula_sum 'Na4 Ni4 P4 O16'
_cell_length_a 5.2468
_cell_length_b 8.3158
_cell_length_c 6.6462
_cell_angle_alpha 90.00
_cell_angle_beta 90.00
_cell_angle_gamma 90.00
_space_group_name_H-M_alt 'C m c m'
_space_group_IT_number 63
_space_group_name_Hall '-C 2c 2'
loop_
_atom_site_label
_atom_site_type_symbol
_atom_site_fract_x
_atom_site_fract_y
_atom_site_fract_z
Na1 Na 0.0000 0.1860 0.2500
Ni1 Ni 0.0000 0.5000 0.0000
P1 P 0.0000 0.1636 0.7500
O1 O 0.0000 0.2691 0.5625
O2 O 0.2425 0.0512 0.7500
# **Calculated volume**: 289.98 Å³/cell

---

Which structure wins on stability? #i wins.

---

#i
# MoIrRu2 GGA-PBEsol optimized geometry
data_MoIrRu2
_chemical_formula_sum 'Mo1 Ir1 Ru2'
_cell_length_a 2.7233
_cell_length_b 4.3374
_cell_length_c 4.7029
_cell_angle_alpha 90.00
_cell_angle_beta 90.00
_cell_angle_gamma 90.00
_space_group_name_H-M_alt 'P m m 2'
_space_group_IT_number 25
_space_group_name_Hall 'P 2 -2'
loop_
_atom_site_label
_atom_site_type_symbol
_atom_site_fract_x
_atom_site_fract_y
_atom_site_fract_z
Mo1 Mo 0.0000 0.0000 0.0000
Ir1 Ir 0.5000 0.5000 0.1734
Ru1 Ru 0.0000 0.5000 0.6678
Ru2 Ru 0.5000 0.0000 0.5138
# **Calculated volume**: 55.55 Å³/cell

---

#ii
# MoIrRu2 GGA-PBEsol optimized geometry
data_MoIrRu2
_chemical_formula_sum 'Mo1 Ir1 Ru2'
_cell_length_a 2.6931
_cell_length_b 3.8133
_cell_length_c 5.4464
_cell_angle_alpha 90.00
_cell_angle_beta 90.00
_cell_angle_gamma 90.00
_space_group_name_H-M_alt 'P m m m'
_space_group_IT_number 47
_space_group_name_Hall '-P 2 2'
loop_
_atom_site_label
_atom_site_type_symbol
_atom_site_fract_x
_atom_site_fract_y
_atom_site_fract_z
Mo1 Mo 0.0000 0.0000 0.0000
Ir1 Ir 0.0000 0.0000 0.5000
Ru1 Ru 0.5000 0.5000 0.2552
# **Calculated volume**: 55.93 Å³/cell

---

Which structure wins on stability? #i wins.

---

#i
# MgCd2Ag GGA-PBEsol optimized geometry
data_MgCd2Ag
_chemical_formula_sum 'Mg2 Cd4 Ag2'
_cell_length_a 10.0671
_cell_length_b 3.2599
_cell_length_c 4.8875
_cell_angle_alpha 90.00
_cell_angle_beta 106.39
_cell_angle_gamma 90.00
_space_group_name_H-M_alt 'C 1 2/m 1'
_space_group_IT_number 12
_space_group_name_Hall '-C 2y'
loop_
_atom_site_label
_atom_site_type_symbol
_atom_site_fract_x
_atom_site_fract_y
_atom_site_fract_z
Mg1 Mg 0.0000 0.0000 0.0000
Cd1 Cd 0.2415 0.0000 0.7418
Ag1 Ag 0.0000 0.5000 0.5000
# **Calculated volume**: 153.88 Å³/cell

---

#ii
# MgCd2Ag GGA-PBEsol optimized geometry
data_MgCd2Ag
_chemical_formula_sum 'Mg2 Cd4 Ag2'
_cell_length_a 9.8786
_cell_length_b 3.2210
_cell_length_c 4.9825
_cell_angle_alpha 90.00
_cell_angle_beta 104.34
_cell_angle_gamma 90.00
_space_group_name_H-M_alt 'C 1 m 1'
_space_group_IT_number 8
_space_group_name_Hall 'C -2y'
loop_
_atom_site_label
_atom_site_type_symbol
_atom_site_fract_x
_atom_site_fract_y
_atom_site_fract_z
Mg1 Mg 0.0000 0.0000 0.0000
Cd1 Cd 0.2426 0.0000 0.7291
Cd2 Cd 0.4870 0.0000 0.4836
Ag1 Ag 0.2417 0.5000 0.2245
# **Calculated volume**: 153.60 Å³/cell

---

Which structure wins on stability? #i wins.

---

#i
# Be2SbPb GGA-PBEsol optimized geometry
data_Be2SbPb
_chemical_formula_sum 'Be2 Sb1 Pb1'
_cell_length_a 4.5910
_cell_length_b 4.5910
_cell_length_c 3.5645
_cell_angle_alpha 90.00
_cell_angle_beta 90.00
_cell_angle_gamma 90.00
_space_group_name_H-M_alt 'P 4/m m m'
_space_group_IT_number 123
_space_group_name_Hall '-P 4 2'
loop_
_atom_site_label
_atom_site_type_symbol
_atom_site_fract_x
_atom_site_fract_y
_atom_site_fract_z
Be1 Be 0.0000 0.5000 0.0000
Sb1 Sb 0.0000 0.0000 0.5000
Pb1 Pb 0.5000 0.5000 0.5000
# **Calculated volume**: 75.13 Å³/cell

---

#ii
# Be2SbPb GGA-PBEsol optimized geometry
data_Be2SbPb
_chemical_formula_sum 'Be4 Sb2 Pb2'
_cell_length_a 3.7743
_cell_length_b 5.4889
_cell_length_c 7.4870
_cell_angle_alpha 90.00
_cell_angle_beta 90.00
_cell_angle_gamma 90.00
_space_group_name_H-M_alt 'I m m m'
_space_group_IT_number 71
_space_group_name_Hall '-I 2 2'
loop_
_atom_site_label
_atom_site_type_symbol
_atom_site_fract_x
_atom_site_fract_y
_atom_site_fract_z
Be1 Be 0.0000 0.0000 0.2287
Sb1 Sb 0.0000 0.5000 0.5000
Pb1 Pb 0.0000 0.5000 0.0000
# **Calculated volume**: 155.11 Å³/cell

---

Which structure wins on stability? #ii wins.

---

#i
# Fe2CoW GGA-PBEsol optimized geometry
data_Fe2CoW
_chemical_formula_sum 'Fe8 Co4 W4'
_cell_length_a 5.7225
_cell_length_b 5.7225
_cell_length_c 5.7225
_cell_angle_alpha 90.00
_cell_angle_beta 90.00
_cell_angle_gamma 90.00
_space_group_name_H-M_alt 'F m -3 m'
_space_group_IT_number 225
_space_group_name_Hall '-F 4 2 3'
loop_
_atom_site_label
_atom_site_type_symbol
_atom_site_fract_x
_atom_site_fract_y
_atom_site_fract_z
Fe1 Fe 0.2500 0.2500 0.2500
Co1 Co 0.0000 0.0000 0.0000
W1 W 0.0000 0.0000 0.5000
# **Calculated volume**: 187.40 Å³/cell

---

#ii
# Fe2CoW GGA-PBEsol optimized geometry
data_Fe2CoW
_chemical_formula_sum 'Fe2 Co1 W1'
_cell_length_a 2.8447
_cell_length_b 2.8447
_cell_length_c 5.9280
_cell_angle_alpha 90.00
_cell_angle_beta 90.00
_cell_angle_gamma 90.00
_space_group_name_H-M_alt 'P 4/m m m'
_space_group_IT_number 123
_space_group_name_Hall '-P 4 2'
loop_
_atom_site_label
_atom_site_type_symbol
_atom_site_fract_x
_atom_site_fract_y
_atom_site_fract_z
Fe1 Fe 0.0000 0.0000 0.2277
Co1 Co 0.5000 0.5000 0.0000
W1 W 0.5000 0.5000 0.5000
# **Calculated volume**: 47.97 Å³/cell

---

Which structure wins on stability? #ii wins.